Record 1
DFT (GGA-PBE) results for an optimized crystal structure of Rb4AsBr6.

abc: 9.440 9.440 9.466
angles: 90.00 90.00 90.00
Each line ends with the local moment (μB).
Fractional coordinates of all 22 atoms:
Rb 0.335 0.165 0.250  0.00
Rb 0.165 0.665 0.750  0.00
Rb 0.665 0.835 0.750  0.00
Rb 0.835 0.335 0.750  0.00
Rb 0.335 0.165 0.750  0.00
Rb 0.165 0.665 0.250  0.00
Rb 0.835 0.335 0.250  0.00
Rb 0.665 0.835 0.250  0.00
As 0.500 0.500 0.000  0.40
As 0.000 0.000 0.500  0.40
Br 0.310 0.894 0.500  0.04
Br 0.810 0.606 0.000  0.04
Br 0.606 0.190 0.000  0.04
Br 0.106 0.310 0.500  0.04
Br 0.000 0.000 0.219  0.00
Br 0.500 0.500 0.281  0.00
Br 0.394 0.810 0.000  0.04
Br 0.000 0.000 0.781  0.00
Br 0.190 0.394 0.000  0.04
Br 0.500 0.500 0.719  0.00
Br 0.894 0.690 0.500  0.04
Br 0.690 0.106 0.500  0.04

Computed properties:
N(E_F): 6.36 states/eV/f.u.
crystal system: tetragonal
raw formation energy: -1248 meV/atom
space group: P4/mnc

Record 2
DFT (GGA-PBE) results for an optimized crystal structure of Nd3ThN.

abc: 5.148 5.148 5.148
angles: 90.00 90.00 90.00
Fractional coordinates of all 5 atoms:
Nd 0.000 0.500 0.000
Nd 0.000 0.000 0.500
Nd 0.500 0.000 0.000
Th 0.500 0.500 0.500
N 0.000 0.000 0.000

Computed properties:
N(E_F): 7.47 states/eV/f.u.
crystal system: cubic
raw formation energy: -349 meV/atom
space group: Pm-3m

Record 3
DFT (GGA-PBE) results for an optimized crystal structure of TlHg2I.

abc: 5.287 5.287 6.921
angles: 67.55 67.55 60.00
Fractional coordinates of all 4 atoms:
Tl 0.743 0.743 0.771
Hg 0.993 0.993 0.022
Hg 0.271 0.271 0.186
I 0.493 0.493 0.520

Computed properties:
crystal system: trigonal
energy above the most stable polymorph in this dataset: 0.046 eV/atom
raw formation energy: -263 meV/atom
space group: R3m

Record 4
DFT (GGA-PBE) results for an optimized crystal structure of Pr6Pb2C.

abc: 6.669 8.619 10.079
angles: 90.00 93.67 90.00
Fractional coordinates of all 18 atoms:
Pr 0.894 0.966 0.251
Pr 0.865 0.722 0.548
Pr 0.829 0.651 0.957
Pr 0.671 0.151 0.543
Pr 0.635 0.222 0.952
Pr 0.606 0.466 0.249
Pr 0.106 0.034 0.749
Pr 0.135 0.278 0.452
Pr 0.171 0.349 0.043
Pr 0.329 0.849 0.457
Pr 0.365 0.778 0.048
Pr 0.394 0.534 0.751
Pb 0.919 0.397 0.733
Pb 0.581 0.897 0.767
Pb 0.419 0.103 0.233
Pb 0.081 0.603 0.267
C 0.500 0.500 0.000
C 0.000 0.000 0.500

Computed properties:
N(E_F): 9.61 states/eV/f.u.
crystal system: monoclinic
energy above the most stable polymorph in this dataset: 0.044 eV/atom
space group: P2_1/c
calculated formation energy: -0.301 eV per atom

Record 5
DFT (GGA-PBE) results for an optimized crystal structure of Nb2TeP2.

abc: 7.344 7.344 3.216
angles: 90.00 90.00 90.00
Fractional coordinates of all 10 atoms:
P 0.373 0.873 0.000
P 0.873 0.627 0.000
P 0.627 0.127 0.000
P 0.127 0.373 0.000
Nb 0.158 0.658 0.500
Nb 0.658 0.842 0.500
Nb 0.842 0.342 0.500
Nb 0.342 0.158 0.500
Te 0.000 0.000 0.000
Te 0.500 0.500 0.000

Computed properties:
N(E_F): 2.12 states/eV/f.u.
crystal system: tetragonal
energy above the most stable polymorph in this dataset: 0.211 eV/atom
raw formation energy: -262 meV/atom
space group: P4/mbm

Record 6
DFT (GGA-PBE) results for an optimized crystal structure of Ho3Np3TiN8.

abc: 6.712 6.712 6.778
angles: 119.67 90.00 120.01
Each line ends with the local moment (μB).
Fractional coordinates of all 15 atoms:
Ho 0.000 0.000 0.000  0.17
Ho 0.000 0.500 0.000  0.17
Ho 0.500 0.500 0.000  0.17
Np 0.500 0.000 0.500  3.02
Np 0.500 0.500 0.500  3.02
Np 0.000 0.500 0.500  3.02
Ti 0.000 0.000 0.500  0.12
N 0.249 0.498 0.247  -0.11
N 0.751 0.502 0.753  -0.11
N 0.775 0.549 0.288  -0.10
N 0.225 0.451 0.712  -0.10
N 0.775 0.013 0.288  -0.10
N 0.225 0.987 0.712  -0.10
N 0.239 0.013 0.288  -0.10
N 0.761 0.987 0.712  -0.10

Computed properties:
N(E_F): 16.89 states/eV/f.u.
crystal system: trigonal
raw formation energy: -1323 meV/atom
space group: R-3m

Record 7
DFT (GGA-PBE) results for an optimized crystal structure of BaDy2Tl.

abc: 3.704 3.704 12.261
angles: 81.31 81.31 60.00
Each line ends with the local moment (μB).
Fractional coordinates of all 4 atoms:
Tl 0.500 0.500 0.500  0.00
Ba 0.000 0.000 0.000  0.07
Dy 0.101 0.101 0.698  0.01
Dy 0.899 0.899 0.302  0.01

Computed properties:
N(E_F): 5.76 states/eV/f.u.
crystal system: trigonal
energy above the most stable polymorph in this dataset: 0.162 eV/atom
space group: R-3m
calculated formation energy: 0.132 eV per atom

Record 8
DFT (GGA-PBE) results for an optimized crystal structure of Hg2RhCl.

abc: 3.586 3.586 8.196
angles: 77.41 77.41 59.67
Fractional coordinates of all 4 atoms:
Cl 0.250 0.250 0.250
Hg 0.006 0.006 0.980
Hg 0.494 0.494 0.520
Rh 0.750 0.750 0.750

Computed properties:
N(E_F): 2.92 states/eV/f.u.
crystal system: monoclinic
energy above the most stable polymorph in this dataset: 0.058 eV/atom
raw formation energy: 62 meV/atom
space group: C2/m